(1)
Entry from the Open Quantum Materials Database: crystalline SrNpAg at its relaxed geometry (GGA-PBE).

a b c (Å): 5.248 5.248 5.248
angles (deg): 60.00 60.00 60.00
Last column: magnetic moment on the atom in μB.
Atoms (fractional coordinates):
Ag: 0.000 0.000 0.000  0.04
Np: 0.250 0.250 0.250  4.51
Sr: 0.750 0.750 0.750  0.11

Properties
DFT total energy	-5.103	eV per atom
calculated volume	34.07	A^3/atom


(2)
Entry from the Open Quantum Materials Database: crystalline InOs3Pb5 at its relaxed geometry (GGA-PBE).

a b c (Å): 5.548 5.548 8.517
angles (deg): 90.00 90.00 120.00
Last column: magnetic moment on the atom in μB.
Atoms (fractional coordinates):
In: 0.000 0.000 0.000  0.02
Os: 0.500 0.000 0.500  0.94
Os: 0.000 0.500 0.500  0.79
Os: 0.500 0.500 0.500  0.99
Pb: 0.667 0.333 0.208  -0.01
Pb: 0.333 0.667 0.208  -0.01
Pb: 0.000 0.000 0.500  0.00
Pb: 0.667 0.333 0.792  -0.01
Pb: 0.333 0.667 0.792  -0.01

Properties
DFT total energy	-5.524	eV per atom
calculated volume	25.22	A^3/atom


(3)
Entry from the Open Quantum Materials Database: crystalline Ho3Mg3Ga2Hg at its relaxed geometry (GGA-PBE).

a b c (Å): 7.340 7.340 4.411
angles (deg): 90.00 90.00 120.00
Atoms (fractional coordinates):
Ga: 0.667 0.333 0.500
Ga: 0.333 0.667 0.500
Hg: 0.000 0.000 0.000
Ho: 0.574 0.000 0.000
Ho: 0.426 0.426 0.000
Ho: 0.000 0.574 0.000
Mg: 0.249 0.000 0.500
Mg: 0.000 0.249 0.500
Mg: 0.751 0.751 0.500

Properties
DFT total energy	-3.233	eV per atom
calculated volume	22.87	A^3/atom


(4)
Entry from the Open Quantum Materials Database: crystalline Mg2Mo at its relaxed geometry (GGA-PBE).

a b c (Å): 14.774 8.465 4.569
angles (deg): 90.00 90.00 52.91
Atoms (fractional coordinates):
Mg: 0.555 0.138 0.000
Mg: 0.144 0.228 0.000
Mg: 0.887 0.468 0.000
Mg: 0.469 0.550 0.000
Mg: 0.057 0.644 0.000
Mg: 0.640 0.719 0.000
Mg: 0.217 0.804 0.000
Mg: 0.390 0.989 0.000
Mg: 0.051 0.133 0.500
Mg: 0.639 0.223 0.500
Mg: 0.804 0.372 0.500
Mg: 0.977 0.557 0.500
Mg: 0.555 0.642 0.500
Mg: 0.138 0.717 0.500
Mg: 0.726 0.811 0.500
Mg: 0.307 0.893 0.500
Mo: 0.947 0.062 0.000
Mo: 0.742 0.260 0.000
Mo: 0.305 0.395 0.000
Mo: 0.809 0.911 0.000
Mo: 0.453 0.101 0.500
Mo: 0.247 0.299 0.500
Mo: 0.385 0.450 0.500
Mo: 0.889 0.966 0.500

Properties
DFT total energy	-4.411	eV per atom
calculated volume	18.99	A^3/atom


(5)
Entry from the Open Quantum Materials Database: crystalline ScIrCl6 at its relaxed geometry (GGA-PBE).

a b c (Å): 6.135 6.135 6.406
angles (deg): 99.20 99.20 119.93
Atoms (fractional coordinates):
Cl: 0.593 0.935 0.230
Cl: 0.919 0.560 0.231
Cl: 0.218 0.235 0.232
Cl: 0.765 0.782 0.768
Cl: 0.440 0.081 0.769
Cl: 0.065 0.407 0.770
Ir: 0.833 0.167 0.000
Sc: 0.166 0.834 0.000

Properties
DFT total energy	-4.559	eV per atom
calculated volume	24.75	A^3/atom


(6)
Entry from the Open Quantum Materials Database: crystalline Mo2W4C3S3 at its relaxed geometry (GGA-PBE).

a b c (Å): 5.767 5.767 11.627
angles (deg): 100.69 100.69 57.78
Atoms (fractional coordinates):
C: 0.500 0.000 0.000
C: 0.137 0.680 0.011
C: 0.320 0.863 0.489
C: 0.000 0.500 0.500
C: 0.680 0.137 0.511
C: 0.863 0.320 0.989
Mo: 0.542 0.394 0.103
Mo: 0.606 0.458 0.397
Mo: 0.394 0.542 0.603
Mo: 0.458 0.606 0.897
S: 0.230 0.422 0.241
S: 0.922 0.078 0.250
S: 0.578 0.770 0.259
S: 0.422 0.230 0.741
S: 0.078 0.922 0.750
S: 0.770 0.578 0.759
W: 0.217 0.993 0.086
W: 0.811 0.684 0.087
W: 0.316 0.189 0.413
W: 0.007 0.783 0.414
W: 0.993 0.217 0.586
W: 0.684 0.811 0.587
W: 0.189 0.316 0.913
W: 0.783 0.007 0.914

Properties
DFT total energy	-9.443	eV per atom
calculated volume	13.32	A^3/atom


(7)
Entry from the Open Quantum Materials Database: crystalline AcInCo at its relaxed geometry (GGA-PBE).

a b c (Å): 4.993 4.993 4.993
angles (deg): 60.00 60.00 60.00
Last column: magnetic moment on the atom in μB.
Atoms (fractional coordinates):
Ac: 0.500 0.500 0.500  -0.05
Co: 0.000 0.000 0.000  1.68
In: 0.250 0.250 0.250  -0.06

Properties
DFT total energy	-4.143	eV per atom
calculated volume	29.34	A^3/atom


(8)
Entry from the Open Quantum Materials Database: crystalline NdGdGe2Os2 at its relaxed geometry (GGA-PBE).

a b c (Å): 4.257 4.257 6.934
angles (deg): 90.00 90.00 90.00
Atoms (fractional coordinates):
Gd: 0.000 0.000 0.690
Ge: 0.000 0.000 0.199
Ge: 0.500 0.500 0.795
Nd: 0.500 0.500 0.321
Os: 0.500 0.000 0.997
Os: 0.000 0.500 0.997

Properties
DFT total energy	-7.331	eV per atom
calculated volume	20.94	A^3/atom


(9)
Entry from the Open Quantum Materials Database: crystalline HoNpCo at its relaxed geometry (GGA-PBE).

a b c (Å): 4.596 4.596 4.596
angles (deg): 60.00 60.00 60.00
Atoms (fractional coordinates):
Co: 0.000 0.000 0.000
Ho: 0.250 0.250 0.250
Np: 0.750 0.750 0.750

Properties
E_form	0.294	eV per atom
DFT total energy	-7.857	eV per atom
calculated volume	22.89	A^3/atom


(10)
Entry from the Open Quantum Materials Database: crystalline SnHgPd2 at its relaxed geometry (GGA-PBE).

a b c (Å): 4.732 4.732 4.732
angles (deg): 60.00 60.00 60.00
Atoms (fractional coordinates):
Hg: 0.250 0.250 0.250
Pd: 0.000 0.000 0.000
Pd: 0.750 0.750 0.750
Sn: 0.500 0.500 0.500

Properties
DFT total energy	-3.802	eV per atom
calculated volume	18.73	A^3/atom


(11)
Entry from the Open Quantum Materials Database: crystalline LiPaIr2 at its relaxed geometry (GGA-PBE).

a b c (Å): 4.200 4.200 3.800
angles (deg): 90.00 90.00 90.00
Atoms (fractional coordinates):
Ir: 0.500 0.000 0.000
Ir: 0.000 0.500 0.000
Li: 0.000 0.000 0.500
Pa: 0.500 0.500 0.500

Properties
DFT total energy	-7.984	eV per atom
calculated volume	16.76	A^3/atom